No. 1
4
Lattice="-5.1272 -1.9280 -1.7132 -0.3920 -4.9641 -2.8539 -2.3329 -4.5907 2.5344" Properties=species:S:1:pos:R:3 comment="GGA-PBE Ca2AcGa, relaxed" relative_energy_mev_per_atom=306 pbc="T T T"
Ga -3.9261 -5.7414 -1.0163
Ca -5.8891 -8.6121 -1.5245
Ca -1.9630 -2.8707 -0.5082
Ac 0.0000 0.0000 0.0000

No. 2
10
Lattice="-4.2544 -0.7976 0.6194 -0.0276 -3.3289 -4.4763 2.9403 -8.9697 8.6459" Properties=species:S:1:pos:R:3 comment="GGA-PBE Ca2AcGa2, relaxed" relative_energy_mev_per_atom=8 pbc="T T T"
Ca 1.5354 -11.0379 4.0499
Ca -2.8771 -2.0584 0.7391
Ca 0.4437 -5.6659 3.4692
Ca -1.7854 -7.4303 1.3198
Ga 1.8033 -10.2185 6.9455
Ga -3.1450 -2.8777 -2.1565
Ga -2.1826 -4.3762 2.5250
Ga 0.8409 -8.7200 2.2640
Ac -0.9428 -8.5773 5.6306
Ac -0.3989 -4.5190 -0.8416

No. 3
Density functional theory data (GGA-PBE) for a geometry-optimized Ca2AcGa3 structure.

```
6
Lattice="-3.6965 0.1658 0.5847 -0.5990 -1.6034 -3.3323 0.3124 -10.2755 4.8882" Properties=species:S:1:pos:R:3 pbc="T T T"
Ca -2.0989 -2.3254 -0.6095
Ca -1.8842 -9.3878 2.7501
Ga 0.0000 0.0000 0.0000
Ga 0.0982 -3.2314 1.5372
Ga 0.2141 -7.0441 3.3510
Ac -1.9916 -5.8566 1.0703
```

Number 1: DFT formation energy 0.077 eV per atom. Number 2: DFT formation energy -0.338 eV per atom. Number 3: DFT formation energy -0.435 eV per atom.